Entry 1:
Ce6SnGe5: optimized geometry, PBE-GGA.

Calculated values
formation energy	-7.29	eV per formula unit

Geometry as CIF:
```
data_Ce6SnGe5
_cell_length_a 7.402
_cell_length_b 7.414
_cell_length_c 7.407
_cell_angle_alpha 59.97
_cell_angle_beta 80.39
_cell_angle_gamma 70.51
_symmetry_space_group_name_H-M 'P 1'
_symmetry_Int_Tables_number 1
_symmetry_space_group_name_Hall 'P 1'
loop_
_atom_site_label
_atom_site_fract_x
_atom_site_fract_y
_atom_site_fract_z
_atom_site_occupancy
Ce1 0.257 0.569 0.345 1
Sn1 0.000 0.000 0.000 1
Ce2 0.743 0.431 0.655 1
Ge1 0.500 0.500 0.000 1
Ce3 0.743 0.086 0.345 1
Ge2 0.500 0.839 0.322 1
Ge3 0.500 0.161 0.678 1
Ge4 0.000 0.332 0.335 1
Ge5 0.000 0.668 0.665 1
Ce4 0.254 0.261 0.000 1
Ce5 0.746 0.739 0.000 1
Ce6 0.257 0.914 0.655 1
```

---

Entry 2:
Pm5Bi4Ru: optimized geometry, PBE-GGA.

Calculated values
formation energy	-6.34	eV per formula unit

Geometry as CIF:
```
data_Pm5Bi4Ru
_cell_length_a 6.427
_cell_length_b 7.769
_cell_length_c 7.769
_cell_angle_alpha 80.15
_cell_angle_beta 65.57
_cell_angle_gamma 65.57
_symmetry_space_group_name_H-M 'P 1'
_symmetry_Int_Tables_number 1
_symmetry_space_group_name_Hall 'P 1'
loop_
_atom_site_label
_atom_site_fract_x
_atom_site_fract_y
_atom_site_fract_z
_atom_site_occupancy
Bi1 0.429 0.390 0.785 1
Bi2 0.604 0.610 0.215 1
Ru1 0.971 0.000 0.000 1
Pm1 0.923 0.363 0.824 1
Pm2 0.746 0.176 0.363 1
Bi3 0.819 0.785 0.610 1
Pm3 0.109 0.637 0.176 1
Bi4 0.214 0.215 0.390 1
Pm4 0.410 0.000 0.000 1
Pm5 0.285 0.824 0.637 1
```

---

Entry 3:
Sc2TlMo: optimized geometry, PBE-GGA.

Calculated values
formation energy	0.36	eV per formula unit
relative energy among the computed polymorphs	0.1526	eV per atom

Geometry as CIF:
```
data_Sc2TlMo
_cell_length_a 9.546
_cell_length_b 9.546
_cell_length_c 9.546
_cell_angle_alpha 19.65
_cell_angle_beta 19.65
_cell_angle_gamma 19.65
_symmetry_space_group_name_H-M 'P 1'
_symmetry_Int_Tables_number 1
_symmetry_space_group_name_Hall 'P 1'
loop_
_atom_site_label
_atom_site_fract_x
_atom_site_fract_y
_atom_site_fract_z
_atom_site_occupancy
Sc1 0.508 0.508 0.508 1
Tl1 0.750 0.750 0.750 1
Mo1 0.250 0.250 0.250 1
Sc2 0.992 0.992 0.992 1
```

---

Entry 4:
Cd2CuPd5Au: optimized geometry, PBE-GGA.

Calculated values
formation energy	1.42	eV per formula unit

Geometry as CIF:
```
data_Cd2CuPd5Au
_cell_length_a 6.680
_cell_length_b 6.680
_cell_length_c 8.788
_cell_angle_alpha 112.34
_cell_angle_beta 112.34
_cell_angle_gamma 90.00
_symmetry_space_group_name_H-M 'P 1'
_symmetry_Int_Tables_number 1
_symmetry_space_group_name_Hall 'P 1'
loop_
_atom_site_label
_atom_site_fract_x
_atom_site_fract_y
_atom_site_fract_z
_atom_site_occupancy
Cu1 0.250 0.250 0.500 1
Cd1 0.636 0.136 0.000 1
Pd1 0.607 0.107 0.690 1
Cd2 0.364 0.864 0.000 1
Pd2 0.500 0.500 0.000 1
Pd3 0.082 0.582 0.690 1
Pd4 0.893 0.918 0.310 1
Pd5 0.418 0.393 0.310 1
Pd6 0.918 0.418 0.310 1
Pd7 0.582 0.607 0.690 1
Pd8 0.107 0.082 0.690 1
Pd9 0.000 0.000 0.000 1
Au1 0.750 0.250 0.500 1
Cd3 0.864 0.636 0.000 1
Au2 0.250 0.750 0.500 1
Cd4 0.136 0.364 0.000 1
Cu2 0.750 0.750 0.500 1
Pd10 0.393 0.893 0.310 1
```

---

Entry 5:
MgFeCoP2: optimized geometry, PBE-GGA.

Calculated values
formation energy	-3.08	eV per formula unit

Geometry as CIF:
```
data_MgFeCoP2
_cell_length_a 3.766
_cell_length_b 3.766
_cell_length_c 5.262
_cell_angle_alpha 110.97
_cell_angle_beta 110.97
_cell_angle_gamma 90.00
_symmetry_space_group_name_H-M 'P 1'
_symmetry_Int_Tables_number 1
_symmetry_space_group_name_Hall 'P 1'
loop_
_atom_site_label
_atom_site_fract_x
_atom_site_fract_y
_atom_site_fract_z
_atom_site_occupancy
P1 0.624 0.624 0.247 1
P2 0.376 0.376 0.753 1
Mg1 0.000 0.000 0.000 1
Co1 0.750 0.250 0.500 1
Fe1 0.250 0.750 0.500 1
```

---

Entry 6:
Ac6Pm3Mg: optimized geometry, PBE-GGA.

Calculated values
formation energy	0.28	eV per formula unit

Geometry as CIF:
```
data_Ac6Pm3Mg
_cell_length_a 6.139
_cell_length_b 10.358
_cell_length_c 13.539
_cell_angle_alpha 111.44
_cell_angle_beta 90.00
_cell_angle_gamma 90.00
_symmetry_space_group_name_H-M 'P 1'
_symmetry_Int_Tables_number 1
_symmetry_space_group_name_Hall 'P 1'
loop_
_atom_site_label
_atom_site_fract_x
_atom_site_fract_y
_atom_site_fract_z
_atom_site_occupancy
Pm1 0.750 0.235 0.031 1
Ac1 0.250 0.463 0.070 1
Ac2 0.750 0.333 0.341 1
Ac3 0.250 0.077 0.866 1
Ac4 0.750 0.537 0.930 1
Mg1 0.250 0.962 0.582 1
Ac5 0.250 0.667 0.659 1
Ac6 0.750 0.847 0.826 1
Pm2 0.750 0.467 0.641 1
Ac7 0.250 0.246 0.497 1
Ac8 0.750 0.923 0.134 1
Mg2 0.750 0.038 0.418 1
Pm3 0.250 0.765 0.969 1
Ac9 0.750 0.754 0.503 1
Ac10 0.250 0.153 0.174 1
Pm4 0.750 0.604 0.220 1
Pm5 0.250 0.396 0.780 1
Ac11 0.750 0.149 0.700 1
Pm6 0.250 0.533 0.359 1
Ac12 0.250 0.851 0.300 1
```

---

Entry 7:
Ho4FeSn8: optimized geometry, PBE-GGA.

Calculated values
formation energy	-6.19	eV per formula unit

Geometry as CIF:
```
data_Ho4FeSn8
_cell_length_a 4.420
_cell_length_b 4.476
_cell_length_c 16.436
_cell_angle_alpha 90.00
_cell_angle_beta 90.00
_cell_angle_gamma 90.00
_symmetry_space_group_name_H-M 'P 1'
_symmetry_Int_Tables_number 1
_symmetry_space_group_name_Hall 'P 1'
loop_
_atom_site_label
_atom_site_fract_x
_atom_site_fract_y
_atom_site_fract_z
_atom_site_occupancy
Sn1 0.000 0.500 0.236 1
Sn2 0.500 0.500 0.754 1
Sn3 0.000 0.500 0.932 1
Ho1 0.500 0.500 0.395 1
Ho2 0.500 0.000 0.902 1
Sn4 0.000 0.000 0.752 1
Sn5 0.500 0.500 0.061 1
Fe1 0.000 0.000 0.305 1
Sn6 0.500 0.000 0.577 1
Sn7 0.500 0.000 0.235 1
Ho3 0.000 0.000 0.095 1
Ho4 0.000 0.500 0.604 1
Sn8 0.000 0.000 0.455 1
```

---

Entry 8:
K3NaRh: optimized geometry, PBE-GGA.

Calculated values
formation energy	2.37	eV per formula unit

Geometry as CIF:
```
data_K3NaRh
_cell_length_a 6.215
_cell_length_b 6.215
_cell_length_c 6.215
_cell_angle_alpha 90.00
_cell_angle_beta 90.00
_cell_angle_gamma 90.00
_symmetry_space_group_name_H-M 'P 1'
_symmetry_Int_Tables_number 1
_symmetry_space_group_name_Hall 'P 1'
loop_
_atom_site_label
_atom_site_fract_x
_atom_site_fract_y
_atom_site_fract_z
_atom_site_occupancy
K1 0.000 0.500 0.000 1
K2 0.000 0.000 0.500 1
Rh1 0.000 0.000 0.000 1
K3 0.500 0.000 0.000 1
Na1 0.500 0.500 0.500 1
```

---

Entry 9:
LaGdSn: optimized geometry, PBE-GGA.

Calculated values
formation energy	-1.23	eV per formula unit
relative energy among the computed polymorphs	0.1093	eV per atom

Geometry as CIF:
```
data_LaGdSn
_cell_length_a 3.927
_cell_length_b 5.228
_cell_length_c 5.228
_cell_angle_alpha 120.00
_cell_angle_beta 90.00
_cell_angle_gamma 90.00
_symmetry_space_group_name_H-M 'P 1'
_symmetry_Int_Tables_number 1
_symmetry_space_group_name_Hall 'P 1'
loop_
_atom_site_label
_atom_site_fract_x
_atom_site_fract_y
_atom_site_fract_z
_atom_site_occupancy
La1 0.690 0.333 0.667 1
Gd1 0.262 0.667 0.333 1
Sn1 0.049 0.000 0.000 1
```

---

Entry 10:
Ce2ZrN3: optimized geometry, PBE-GGA.

Calculated values
raw formation energy	-885	kJ/mol of formula units
relative energy among the computed polymorphs	0.0425	eV per atom

Geometry as CIF:
```
data_Ce2ZrN3
_cell_length_a 3.478
_cell_length_b 3.478
_cell_length_c 7.737
_cell_angle_alpha 102.98
_cell_angle_beta 102.98
_cell_angle_gamma 90.03
_symmetry_space_group_name_H-M 'P 1'
_symmetry_Int_Tables_number 1
_symmetry_space_group_name_Hall 'P 1'
loop_
_atom_site_label
_atom_site_fract_x
_atom_site_fract_y
_atom_site_fract_z
_atom_site_occupancy
Zr1 0.434 0.436 0.874 1
Ce1 0.098 0.099 0.201 1
N1 0.591 0.593 0.188 1
Ce2 0.771 0.772 0.547 1
N2 0.277 0.279 0.560 1
N3 0.934 0.936 0.874 1
```

---

Entry 11:
KLi2Os: optimized geometry, PBE-GGA.

Calculated values
formation energy	3.78	eV per formula unit
relative energy among the computed polymorphs	0.3757	eV per atom

Geometry as CIF:
```
data_KLi2Os
_cell_length_a 2.657
_cell_length_b 5.714
_cell_length_c 5.295
_cell_angle_alpha 90.00
_cell_angle_beta 90.00
_cell_angle_gamma 90.00
_symmetry_space_group_name_H-M 'P 1'
_symmetry_Int_Tables_number 1
_symmetry_space_group_name_Hall 'P 1'
loop_
_atom_site_label
_atom_site_fract_x
_atom_site_fract_y
_atom_site_fract_z
_atom_site_occupancy
K1 0.000 0.500 0.500 1
Li1 0.500 0.500 0.000 1
Li2 0.000 0.000 0.000 1
Os1 0.500 0.000 0.500 1
```

---

Entry 12:
K3TiCl7: optimized geometry, PBE-GGA.

Calculated values
raw formation energy	-1865	kJ/mol of formula units

Geometry as CIF:
```
data_K3TiCl7
_cell_length_a 6.959
_cell_length_b 6.959
_cell_length_c 7.639
_cell_angle_alpha 77.32
_cell_angle_beta 77.32
_cell_angle_gamma 91.64
_symmetry_space_group_name_H-M 'P 1'
_symmetry_Int_Tables_number 1
_symmetry_space_group_name_Hall 'P 1'
loop_
_atom_site_label
_atom_site_fract_x
_atom_site_fract_y
_atom_site_fract_z
_atom_site_occupancy
K1 0.505 0.505 0.942 1
K2 0.205 0.762 0.486 1
Cl1 0.157 0.157 0.178 1
Cl2 0.858 0.858 0.784 1
Cl3 0.997 0.327 0.784 1
Ti1 0.013 0.013 0.973 1
Cl4 0.564 0.564 0.533 1
Cl5 0.040 0.696 0.150 1
Cl6 0.696 0.040 0.150 1
Cl7 0.327 0.997 0.784 1
K3 0.762 0.205 0.486 1
```

---

Entry 13:
HfInSi: optimized geometry, PBE-GGA.

Calculated values
raw formation energy	-83	kJ/mol of formula units
relative energy among the computed polymorphs	0.0112	eV per atom

Geometry as CIF:
```
data_HfInSi
_cell_length_a 3.741
_cell_length_b 16.822
_cell_length_c 3.708
_cell_angle_alpha 90.00
_cell_angle_beta 90.00
_cell_angle_gamma 90.00
_symmetry_space_group_name_H-M 'P 1'
_symmetry_Int_Tables_number 1
_symmetry_space_group_name_Hall 'P 1'
loop_
_atom_site_label
_atom_site_fract_x
_atom_site_fract_y
_atom_site_fract_z
_atom_site_occupancy
In1 0.000 0.206 0.250 1
Si1 0.000 0.046 0.250 1
Hf1 0.000 0.588 0.750 1
Hf2 0.000 0.412 0.250 1
In2 0.500 0.706 0.250 1
In3 0.500 0.294 0.750 1
Hf3 0.500 0.912 0.250 1
Si2 0.500 0.454 0.750 1
Si3 0.500 0.546 0.250 1
Hf4 0.500 0.088 0.750 1
In4 0.000 0.794 0.750 1
Si4 0.000 0.954 0.750 1
```

---

Entry 14:
KBa2Be: optimized geometry, PBE-GGA.

Calculated values
formation energy	1.55	eV per formula unit

Geometry as CIF:
```
data_KBa2Be
_cell_length_a 11.803
_cell_length_b 11.803
_cell_length_c 11.803
_cell_angle_alpha 23.33
_cell_angle_beta 23.33
_cell_angle_gamma 23.33
_symmetry_space_group_name_H-M 'P 1'
_symmetry_Int_Tables_number 1
_symmetry_space_group_name_Hall 'P 1'
loop_
_atom_site_label
_atom_site_fract_x
_atom_site_fract_y
_atom_site_fract_z
_atom_site_occupancy
K1 0.749 0.749 0.749 1
Be1 0.584 0.584 0.584 1
Ba1 0.199 0.199 0.199 1
Ba2 0.968 0.968 0.968 1
```

---

Entry 15:
La2TeOsCl: optimized geometry, PBE-GGA.

Calculated values
raw formation energy	-312	kJ/mol of formula units

Geometry as CIF:
```
data_La2TeOsCl
_cell_length_a 5.548
_cell_length_b 4.789
_cell_length_c 5.548
_cell_angle_alpha 90.00
_cell_angle_beta 90.00
_cell_angle_gamma 90.00
_symmetry_space_group_name_H-M 'P 1'
_symmetry_Int_Tables_number 1
_symmetry_space_group_name_Hall 'P 1'
loop_
_atom_site_label
_atom_site_fract_x
_atom_site_fract_y
_atom_site_fract_z
_atom_site_occupancy
Cl1 0.000 0.500 0.000 1
La1 0.000 0.000 0.500 1
La2 0.500 0.000 0.000 1
Te1 0.500 0.500 0.500 1
Os1 0.000 0.000 0.000 1
```

---

Entry 16:
DyMg8Tl6: optimized geometry, PBE-GGA.

Calculated values
formation energy	0.27	eV per formula unit

Geometry as CIF:
```
data_DyMg8Tl6
_cell_length_a 8.636
_cell_length_b 8.636
_cell_length_c 8.022
_cell_angle_alpha 57.43
_cell_angle_beta 57.43
_cell_angle_gamma 60.00
_symmetry_space_group_name_H-M 'P 1'
_symmetry_Int_Tables_number 1
_symmetry_space_group_name_Hall 'P 1'
loop_
_atom_site_label
_atom_site_fract_x
_atom_site_fract_y
_atom_site_fract_z
_atom_site_occupancy
Mg1 0.667 0.667 0.000 1
Tl1 0.064 0.732 0.801 1
Mg2 0.230 0.887 0.328 1
Tl2 0.403 0.064 0.801 1
Tl3 0.936 0.268 0.199 1
Dy1 0.000 0.000 0.000 1
Tl4 0.268 0.597 0.199 1
Mg3 0.333 0.333 0.000 1
Tl5 0.597 0.936 0.199 1
Mg4 0.770 0.113 0.672 1
Mg5 0.887 0.556 0.328 1
Mg6 0.444 0.770 0.672 1
Tl6 0.732 0.403 0.801 1
Mg7 0.113 0.444 0.672 1
Mg8 0.556 0.230 0.328 1
```

---

Entry 17:
Y2ScPtPb: optimized geometry, PBE-GGA.

Calculated values
formation energy	1.32	eV per formula unit

Geometry as CIF:
```
data_Y2ScPtPb
_cell_length_a 5.719
_cell_length_b 5.719
_cell_length_c 4.758
_cell_angle_alpha 90.00
_cell_angle_beta 90.00
_cell_angle_gamma 90.00
_symmetry_space_group_name_H-M 'P 1'
_symmetry_Int_Tables_number 1
_symmetry_space_group_name_Hall 'P 1'
loop_
_atom_site_label
_atom_site_fract_x
_atom_site_fract_y
_atom_site_fract_z
_atom_site_occupancy
Pb1 0.500 0.500 0.500 1
Y1 0.000 0.500 0.000 1
Pt1 0.000 0.000 0.500 1
Sc1 0.000 0.000 0.000 1
Y2 0.500 0.000 0.000 1
```

---

Entry 18:
ScCoGe2Te: optimized geometry, PBE-GGA.

Calculated values
raw formation energy	-154	kJ/mol of formula units

Geometry as CIF:
```
data_ScCoGe2Te
_cell_length_a 4.429
_cell_length_b 5.313
_cell_length_c 4.429
_cell_angle_alpha 90.00
_cell_angle_beta 90.00
_cell_angle_gamma 90.00
_symmetry_space_group_name_H-M 'P 1'
_symmetry_Int_Tables_number 1
_symmetry_space_group_name_Hall 'P 1'
loop_
_atom_site_label
_atom_site_fract_x
_atom_site_fract_y
_atom_site_fract_z
_atom_site_occupancy
Te1 0.500 0.500 0.500 1
Ge1 0.500 0.000 0.000 1
Sc1 0.000 0.500 0.000 1
Ge2 0.000 0.000 0.500 1
Co1 0.000 0.000 0.000 1
```

---

Entry 19:
Hf2Ru2O: optimized geometry, PBE-GGA.

Calculated values
raw formation energy	38	kJ/mol of formula units
relative energy among the computed polymorphs	0.1660	eV per atom

Geometry as CIF:
```
data_Hf2Ru2O
_cell_length_a 5.205
_cell_length_b 5.205
_cell_length_c 4.941
_cell_angle_alpha 58.21
_cell_angle_beta 58.21
_cell_angle_gamma 90.00
_symmetry_space_group_name_H-M 'P 1'
_symmetry_Int_Tables_number 1
_symmetry_space_group_name_Hall 'P 1'
loop_
_atom_site_label
_atom_site_fract_x
_atom_site_fract_y
_atom_site_fract_z
_atom_site_occupancy
Ru1 0.700 0.700 0.600 1
Hf1 0.250 0.750 0.500 1
Ru2 0.300 0.300 0.400 1
Hf2 0.750 0.250 0.500 1
O1 0.000 0.000 0.000 1
```

---

Entry 20:
KCd2Bi2Pb: optimized geometry, PBE-GGA.

Calculated values
formation energy	-0.84	eV per formula unit

Geometry as CIF:
```
data_KCd2Bi2Pb
_cell_length_a 5.266
_cell_length_b 5.266
_cell_length_c 8.366
_cell_angle_alpha 90.00
_cell_angle_beta 90.00
_cell_angle_gamma 120.00
_symmetry_space_group_name_H-M 'P 1'
_symmetry_Int_Tables_number 1
_symmetry_space_group_name_Hall 'P 1'
loop_
_atom_site_label
_atom_site_fract_x
_atom_site_fract_y
_atom_site_fract_z
_atom_site_occupancy
Bi1 0.333 0.667 0.274 1
Cd1 0.667 0.333 0.332 1
Bi2 0.667 0.333 0.726 1
K1 0.000 0.000 0.000 1
Cd2 0.333 0.667 0.668 1
Pb1 0.000 0.000 0.500 1
```